CoMoPb2 | PBEsol | relaxed

Lattice parameters (Å, degrees): 3.391 5.181 8.410 90.00 90.00 90.00
Space group Immm (No. 71)
One atom of each set of equivalent atoms:
Co  0.000  0.000  0.000
Mo  0.000  0.000  0.500
Pb  0.000  0.500  0.272

Calculated values
Raw total energy: -6.04 eV per atom
Offset from the most stable computed form: 340 meV/atom
Fermi-level density of states: 5.28 states/eV/f.u.
Energy of formation from the pure elements: 0.84 eV per atom
Total magnetic moment: 0.23 Bohr magnetons per cell